Computed, not measured: MnNb3O6 after structural relaxation at the PBE with a Hubbard U level of DFT.

Output
E_tot ... -8.95 eV/atom
Crystal system ... triclinic

Cell lengths 6.624, 7.093, 12.379 Å; angles 90.77, 105.50, 117.81 degrees
Space group P-1 (No. 2)
Symmetry-distinct sites (fractional):
Mn 0.241 0.232 0.257 (multiplicity 2)
Mn 0.253 0.763 0.749 (multiplicity 2)
Nb 0.273 0.766 0.280 (multiplicity 2)
Nb 0.274 0.555 0.495 (multiplicity 2)
Nb 0.280 0.058 0.004 (multiplicity 2)
Nb 0.283 0.289 0.776 (multiplicity 2)
Nb 0.301 0.000 0.500 (multiplicity 2)
Nb 0.301 0.500 0.000 (multiplicity 2)
O 0.086 0.200 0.028 (multiplicity 2)
O 0.089 0.897 0.334 (multiplicity 2)
O 0.091 0.398 0.835 (multiplicity 2)
O 0.091 0.701 0.532 (multiplicity 2)
O 0.141 0.461 0.321 (multiplicity 2)
O 0.158 0.988 0.829 (multiplicity 2)
O 0.354 0.031 0.177 (multiplicity 2)
O 0.356 0.534 0.678 (multiplicity 2)
O 0.357 0.605 0.164 (multiplicity 2)
O 0.358 0.104 0.666 (multiplicity 2)
O 0.358 0.298 0.467 (multiplicity 2)
O 0.358 0.800 0.970 (multiplicity 2)